A geometry-optimized Ho2TmScTl2 structure. Source: Alexandria, functional PBE.

Properties
- calculated formation energy (eV per atom) = -0.253
- DOS at the Fermi energy (states/eV per atom) = 1.1147
- total magnetic moment (μB/f.u.) = 0.001

a = 4.935 Å, b = 6.791 Å, c = 9.726 Å
α = 90.00°, β = 90.00°, γ = 90.00°
Element x y z (fractional)
Ho  0.500  0.056  0.046
Ho  0.000  0.342  0.191
Ho  0.500  0.556  0.954
Ho  0.000  0.842  0.809
Tm  0.000  0.955  0.455
Tm  0.000  0.455  0.545
Sc  0.500  0.169  0.693
Sc  0.500  0.669  0.307
Tl  0.000  0.299  0.861
Tl  0.500  0.224  0.380
Tl  0.000  0.799  0.139
Tl  0.500  0.724  0.620

---

A geometry-optimized HoTmSc2Tl4 structure. Source: Alexandria, functional PBE.

Properties
- calculated formation energy (eV per atom) = -0.275
- DOS at the Fermi energy (states/eV per atom) = 0.8841
- total magnetic moment (μB/f.u.) = 0.000

a = 5.217 Å, b = 5.217 Å, c = 9.053 Å
α = 73.25°, β = 73.25°, γ = 60.00°
Element x y z (fractional)
Ho  0.000  0.000  0.000
Tm  0.500  0.500  0.500
Sc  0.750  0.750  0.749
Sc  0.250  0.250  0.251
Tl  0.375  0.375  0.874
Tl  0.875  0.875  0.376
Tl  0.125  0.125  0.624
Tl  0.625  0.625  0.126

---

A geometry-optimized Ho2TmScTl4 structure. Source: Alexandria, functional PBE.

Properties
- calculated formation energy (eV per atom) = -0.294
- DOS at the Fermi energy (states/eV per atom) = 0.8518
- total magnetic moment (μB/f.u.) = 0.000

a = 5.278 Å, b = 5.278 Å, c = 9.165 Å
α = 73.27°, β = 73.27°, γ = 60.00°
Element x y z (fractional)
Ho  0.751  0.751  0.747
Ho  0.249  0.249  0.253
Tm  0.000  0.000  0.000
Sc  0.500  0.500  0.500
Tl  0.376  0.376  0.872
Tl  0.874  0.874  0.378
Tl  0.126  0.126  0.622
Tl  0.624  0.624  0.128

---

A geometry-optimized HoTmScTl structure. Source: Alexandria, functional PBE.

Properties
- calculated formation energy (eV per atom) = -0.167
- DOS at the Fermi energy (states/eV per atom) = 1.1463
- total magnetic moment (μB/f.u.) = 1.182

a = 4.695 Å, b = 4.723 Å, c = 4.742 Å
α = 90.00°, β = 90.00°, γ = 90.00°
Each line ends with the local moment (μB).
Element x y z (fractional)
Ho  0.500  0.500  0.000  0.28
Tm  0.500  0.000  0.500  0.28
Sc  0.000  0.000  0.000  0.36
Tl  0.000  0.500  0.500  -0.01

---

A geometry-optimized HoTmScTl structure. Source: Alexandria, functional PBE.

Properties
- calculated formation energy (eV per atom) = -0.038
- DOS at the Fermi energy (states/eV per atom) = 1.4859
- total magnetic moment (μB/f.u.) = 1.305

a = 5.328 Å, b = 5.328 Å, c = 5.328 Å
α = 60.00°, β = 60.00°, γ = 60.00°
Each line ends with the local moment (μB).
Element x y z (fractional)
Sc  0.000  0.000  0.000  0.44
Tl  0.500  0.500  0.500  0.00
Tm  0.750  0.750  0.750  0.28
Ho  0.250  0.250  0.250  0.26

---

A geometry-optimized Y2HoScTl2 structure. Source: Alexandria, functional PBE.

Properties
- calculated formation energy (eV per atom) = -0.278
- DOS at the Fermi energy (states/eV per atom) = 1.1647
- total magnetic moment (μB/f.u.) = 0.000

a = 4.939 Å, b = 6.898 Å, c = 9.759 Å
α = 90.00°, β = 90.00°, γ = 90.00°
Element x y z (fractional)
Y  0.500  0.057  0.050
Y  0.000  0.346  0.192
Y  0.500  0.557  0.950
Y  0.000  0.846  0.808
Ho  0.000  0.954  0.451
Ho  0.000  0.454  0.549
Sc  0.500  0.166  0.695
Sc  0.500  0.666  0.305
Tl  0.000  0.296  0.864
Tl  0.500  0.227  0.383
Tl  0.000  0.796  0.136
Tl  0.500  0.727  0.617

---

A geometry-optimized YHoScTl structure. Source: Alexandria, functional PBE.

Properties
- calculated formation energy (eV per atom) = -0.064
- DOS at the Fermi energy (states/eV per atom) = 1.3855
- total magnetic moment (μB/f.u.) = 1.478

a = 5.361 Å, b = 5.361 Å, c = 5.361 Å
α = 60.00°, β = 60.00°, γ = 60.00°
Each line ends with the local moment (μB).
Element x y z (fractional)
Y  0.750  0.750  0.750  0.22
Sc  0.000  0.000  0.000  0.49
Tl  0.500  0.500  0.500  -0.01
Ho  0.250  0.250  0.250  0.29

---

A geometry-optimized Y2HoScTl4 structure. Source: Alexandria, functional PBE.

Properties
- calculated formation energy (eV per atom) = -0.324
- DOS at the Fermi energy (states/eV per atom) = 0.8393
- total magnetic moment (μB/f.u.) = 0.000

a = 5.299 Å, b = 5.299 Å, c = 9.206 Å
α = 73.27°, β = 73.27°, γ = 60.00°
Element x y z (fractional)
Y  0.751  0.751  0.746
Y  0.249  0.249  0.254
Ho  0.000  0.000  0.000
Sc  0.500  0.500  0.500
Tl  0.376  0.376  0.871
Tl  0.874  0.874  0.379
Tl  0.126  0.126  0.621
Tl  0.624  0.624  0.129

---

A geometry-optimized YHo2ScTl2 structure. Source: Alexandria, functional PBE.

Properties
- calculated formation energy (eV per atom) = -0.270
- DOS at the Fermi energy (states/eV per atom) = 1.1357
- total magnetic moment (μB/f.u.) = 0.000

a = 4.930 Å, b = 6.901 Å, c = 9.731 Å
α = 90.00°, β = 90.00°, γ = 90.00°
Element x y z (fractional)
Y  0.000  0.954  0.451
Y  0.000  0.454  0.549
Ho  0.500  0.056  0.049
Ho  0.000  0.347  0.190
Ho  0.500  0.556  0.951
Ho  0.000  0.847  0.810
Sc  0.500  0.165  0.696
Sc  0.500  0.665  0.304
Tl  0.000  0.295  0.865
Tl  0.500  0.228  0.381
Tl  0.000  0.795  0.135
Tl  0.500  0.728  0.619

---

A geometry-optimized YHoScTl structure. Source: Alexandria, functional PBE.

Properties
- calculated formation energy (eV per atom) = -0.178
- DOS at the Fermi energy (states/eV per atom) = 1.0777
- total magnetic moment (μB/f.u.) = 1.311

a = 4.706 Å, b = 4.780 Å, c = 4.766 Å
α = 90.00°, β = 90.00°, γ = 90.00°
Each line ends with the local moment (μB).
Element x y z (fractional)
Y  0.000  0.000  0.000  0.23
Ho  0.000  0.500  0.500  0.30
Sc  0.500  0.500  0.000  0.38
Tl  0.500  0.000  0.500  -0.02

---

A geometry-optimized HoScTlZn structure. Source: Alexandria, functional PBE.

Properties
- calculated formation energy (eV per atom) = -0.333
- DOS at the Fermi energy (states/eV per atom) = 0.7389
- total magnetic moment (μB/f.u.) = 0.000

a = 3.561 Å, b = 3.561 Å, c = 7.178 Å
α = 90.00°, β = 90.00°, γ = 90.00°
Element x y z (fractional)
Ho  0.000  0.000  0.836
Sc  0.000  0.000  0.380
Tl  0.500  0.500  0.124
Zn  0.500  0.500  0.588

---

A geometry-optimized HoScTlZn structure. Source: Alexandria, functional PBE.

Properties
- calculated formation energy (eV per atom) = -0.301
- DOS at the Fermi energy (states/eV per atom) = 1.1340
- total magnetic moment (μB/f.u.) = 0.097

a = 5.072 Å, b = 5.072 Å, c = 5.072 Å
α = 60.00°, β = 60.00°, γ = 60.00°
Element x y z (fractional)
Sc  0.750  0.750  0.750
Zn  0.000  0.000  0.000
Tl  0.500  0.500  0.500
Ho  0.250  0.250  0.250

---

A geometry-optimized HoSc2Tl2Zn2 structure. Source: Alexandria, functional PBE.

Properties
- calculated formation energy (eV per atom) = -0.159
- DOS at the Fermi energy (states/eV per atom) = 0.7059
- total magnetic moment (μB/f.u.) = 0.421

a = 4.679 Å, b = 4.679 Å, c = 8.837 Å
α = 74.65°, β = 74.65°, γ = 60.00°
Each line ends with the local moment (μB).
Element x y z (fractional)
Ho  0.000  0.000  0.000  0.08
Sc  0.136  0.136  0.591  0.11
Sc  0.864  0.864  0.409  0.11
Tl  0.736  0.736  0.793  0.00
Tl  0.264  0.264  0.207  0.00
Zn  0.555  0.555  0.334  0.00
Zn  0.445  0.445  0.666  0.00

---

A geometry-optimized Ho4Tm3Sc2 structure. Source: Alexandria, functional PBE.

Properties
- calculated formation energy (eV per atom) = 0.088
- DOS at the Fermi energy (states/eV per atom) = 1.3373
- total magnetic moment (μB/f.u.) = 0.000

a = 6.610 Å, b = 11.430 Å, c = 11.430 Å
α = 50.28°, β = 57.27°, γ = 57.27°
Element x y z (fractional)
Ho  0.478  0.837  0.198
Ho  0.022  0.802  0.163
Ho  0.522  0.163  0.802
Ho  0.978  0.198  0.837
Ho  0.963  0.189  0.436
Ho  0.537  0.564  0.811
Ho  0.037  0.811  0.564
Ho  0.463  0.436  0.189
Tm  0.932  0.111  0.198
Tm  0.568  0.802  0.889
Tm  0.068  0.889  0.802
Tm  0.432  0.198  0.111
Tm  0.250  0.507  0.493
Tm  0.750  0.493  0.507
Sc  0.434  0.121  0.549
Sc  0.066  0.451  0.879
Sc  0.566  0.879  0.451
Sc  0.934  0.549  0.121

---

A geometry-optimized Ho2TmSc3 structure. Source: Alexandria, functional PBE.

Properties
- calculated formation energy (eV per atom) = 0.238
- DOS at the Fermi energy (states/eV per atom) = 2.1603
- total magnetic moment (μB/f.u.) = 0.993

a = 6.275 Å, b = 6.275 Å, c = 10.213 Å
α = 90.00°, β = 90.00°, γ = 120.00°
Each line ends with the local moment (μB).
Element x y z (fractional)
Ho  0.000  0.000  0.000  0.00
Ho  0.667  0.333  0.436  0.12
Ho  0.000  0.000  0.500  0.04
Ho  0.333  0.667  0.564  0.12
Tm  0.333  0.667  0.937  0.08
Tm  0.667  0.333  0.063  0.08
Sc  0.171  0.343  0.249  0.13
Sc  0.657  0.829  0.249  0.13
Sc  0.171  0.829  0.249  0.13
Sc  0.829  0.657  0.751  0.13
Sc  0.829  0.171  0.751  0.13
Sc  0.343  0.171  0.751  0.13

---

A geometry-optimized Ho12Tm5Sc structure. Source: Alexandria, functional PBE.

Properties
- calculated formation energy (eV per atom) = 0.017
- DOS at the Fermi energy (states/eV per atom) = 1.3402
- total magnetic moment (μB/f.u.) = 0.000

a = 6.086 Å, b = 6.087 Å, c = 17.123 Å
α = 86.61°, β = 83.21°, γ = 60.01°
Element x y z (fractional)
Ho  0.890  0.000  0.333
Ho  0.110  0.000  0.667
Ho  0.723  0.000  0.836
Ho  0.277  0.000  0.164
Ho  0.385  0.669  0.836
Ho  0.946  0.669  0.164
Ho  0.054  0.331  0.836
Ho  0.615  0.331  0.164
Ho  0.443  0.333  0.668
Ho  0.777  0.667  0.668
Ho  0.223  0.333  0.332
Ho  0.557  0.667  0.332
Tm  0.500  0.000  0.500
Tm  0.167  0.666  0.500
Tm  0.833  0.334  0.500
Tm  0.667  0.667  0.000
Tm  0.333  0.333  0.000
Sc  0.000  0.000  0.000

---

A geometry-optimized Ho15Tm4Sc structure. Source: Alexandria, functional PBE.

Properties
- calculated formation energy (eV per atom) = 0.026
- DOS at the Fermi energy (states/eV per atom) = 1.3472
- total magnetic moment (μB/f.u.) = 0.000

a = 4.957 Å, b = 4.957 Å, c = 24.746 Å
α = 90.00°, β = 90.00°, γ = 90.00°
Element x y z (fractional)
Ho  0.500  0.500  0.000
Ho  0.500  0.500  0.198
Ho  0.500  0.500  0.399
Ho  0.500  0.500  0.601
Ho  0.500  0.500  0.802
Ho  0.500  0.000  0.097
Ho  0.500  0.000  0.299
Ho  0.500  0.000  0.500
Ho  0.500  0.000  0.701
Ho  0.500  0.000  0.903
Ho  0.000  0.500  0.097
Ho  0.000  0.500  0.299
Ho  0.000  0.500  0.500
Ho  0.000  0.500  0.701
Ho  0.000  0.500  0.903
Tm  0.000  0.000  0.198
Tm  0.000  0.000  0.399
Tm  0.000  0.000  0.601
Tm  0.000  0.000  0.802
Sc  0.000  0.000  0.000

---

A geometry-optimized Ho2TmSc3 structure. Source: Alexandria, functional PBE.

Properties
- calculated formation energy (eV per atom) = 0.049
- DOS at the Fermi energy (states/eV per atom) = 1.6115
- total magnetic moment (μB/f.u.) = 0.000

a = 3.420 Å, b = 5.927 Å, c = 16.431 Å
α = 96.92°, β = 90.00°, γ = 90.00°
Element x y z (fractional)
Ho  0.250  0.750  0.500
Ho  0.750  0.250  0.500
Ho  0.750  0.028  0.834
Ho  0.250  0.972  0.166
Tm  0.250  0.527  0.834
Tm  0.750  0.473  0.166
Sc  0.750  0.639  0.668
Sc  0.250  0.361  0.332
Sc  0.750  0.861  0.332
Sc  0.250  0.139  0.668
Sc  0.250  0.251  0.000
Sc  0.750  0.749  0.000

---

A geometry-optimized HoTmSc3 structure. Source: Alexandria, functional PBE.

Properties
- calculated formation energy (eV per atom) = 0.018
- DOS at the Fermi energy (states/eV per atom) = 1.8645
- total magnetic moment (μB/f.u.) = 0.000

a = 6.341 Å, b = 6.331 Å, c = 8.651 Å
α = 72.41°, β = 72.44°, γ = 55.63°
Element x y z (fractional)
Ho  0.750  0.469  0.580
Ho  0.676  0.727  0.899
Tm  0.140  0.867  0.793
Tm  0.286  0.330  0.686
Sc  0.352  0.062  0.382
Sc  0.951  0.665  0.192
Sc  0.542  0.262  0.999
Sc  0.075  0.134  0.097
Sc  0.476  0.531  0.287
Sc  0.884  0.935  0.481

---

A geometry-optimized HoTm4Sc2 structure. Source: Alexandria, functional PBE.

Properties
- calculated formation energy (eV per atom) = 0.187
- DOS at the Fermi energy (states/eV per atom) = 1.4483
- total magnetic moment (μB/f.u.) = 0.000

a = 3.465 Å, b = 5.719 Å, c = 11.301 Å
α = 110.51°, β = 90.00°, γ = 90.00°
Element x y z (fractional)
Ho  0.000  0.000  0.000
Tm  0.500  0.178  0.266
Tm  0.500  0.822  0.734
Tm  0.000  0.356  0.787
Tm  0.000  0.644  0.213
Sc  0.000  0.500  0.500
Sc  0.500  0.000  0.500